# 1
## Tb2YNi (PBE)

Data for a relaxed Tb2YNi crystal.

```
4
Lattice="3.4607 0.0000 0.0000 0.0000 3.4607 0.0000 0.0000 0.0000 8.7114" Properties=species:S:1:pos:R:3 pbc="T T T"
Ni 1.7304 1.7304 0.0000
Tb 0.0000 0.0000 1.6215
Tb 0.0000 0.0000 7.0899
Y 1.7304 1.7304 4.3557
```

Values from the calculation:
Energy relative to the elements, meV/atom: -149
D(E_F), states/eV/atom: 1.46
Electronic total energy, eV/atom: -5.525
Relative energy among the computed polymorphs, eV per atom: 0.092

---

# 2
## BaLa2Co (PBE)

Data for a relaxed BaLa2Co crystal.

```
4
Lattice="6.6413 0.0232 -0.0199 5.5073 3.7117 -0.0199 3.3611 1.0333 6.0045" Properties=species:S:1:pos:R:3 pbc="T T T"
La 11.7695 3.6184 5.1062
La 11.4288 3.5136 0.7625
Co 3.7619 1.1566 0.0913
Ba 8.4528 2.5987 2.9473
```

Values from the calculation:
Energy relative to the elements, meV/atom: 82
D(E_F), states/eV/atom: 1.28
Electronic total energy, eV/atom: -4.639
Relative energy among the computed polymorphs, eV per atom: 0.150

---

# 3
## K2BaInSb2 (PBE)

Data for a relaxed K2BaInSb2 crystal.

```
12
Lattice="-0.6504 4.7770 1.5855 -9.1050 -1.4765 0.7132 1.2079 -2.9360 9.3415" Properties=species:S:1:pos:R:3 pbc="T T T"
Ba -8.4470 -2.7858 4.9283
Ba -3.7789 -2.3286 5.4656
Sb -2.2654 0.8218 4.7173
Sb -6.5759 -0.5048 6.9460
Sb -6.5722 -1.6036 2.1353
Sb -1.2266 -2.7929 7.9117
K -4.0832 -1.0904 9.7328
K -0.5362 2.0920 1.5997
K -3.0926 -1.0363 1.8535
K -6.8498 -3.7078 8.3615
In -0.8711 0.1608 7.2807
In -5.8658 0.4974 4.2176
```

Values from the calculation:
D(E_F), states/eV/atom: 0.30
Electronic total energy, eV/atom: -3.104
Formation energy without anion corrections, meV per atom: -587

---

# 4
## CaZrTi2 (PBE)

Data for a relaxed CaZrTi2 crystal.

```
8
Lattice="4.2643 0.0000 0.0000 0.0000 4.2643 0.0000 2.1321 2.1321 10.1802" Properties=species:S:1:pos:R:3 pbc="T T T"
Ti 5.3304 3.0728 7.6352
Ti 0.9407 1.0661 2.5451
Ti 3.3236 3.1982 2.5451
Ti 3.1982 5.4558 7.6352
Zr 0.0000 0.0000 0.0000
Zr 4.2643 2.1321 5.0901
Ca 2.1321 4.2643 5.0901
Ca 2.1321 2.1321 0.0000
```

Values from the calculation:
Energy relative to the elements, meV/atom: 826
D(E_F), states/eV/atom: 1.71
Electronic total energy, eV/atom: -5.759
Relative energy among the computed polymorphs, eV per atom: 0.321

---

# 5
## SbAu2S2 (PBE)

Data for a relaxed SbAu2S2 crystal.

```
5
Lattice="4.2319 0.0000 0.0000 0.0000 4.2319 0.0000 2.1160 2.1160 5.7745" Properties=species:S:1:pos:R:3 pbc="T T T"
Au 2.1160 2.1160 1.3561
Au 4.2319 4.2319 4.4184
Sb 0.0000 0.0000 0.0000
S 4.2319 2.1160 2.8873
S 2.1160 4.2319 2.8873
```

Values from the calculation:
D(E_F), states/eV/atom: 0.61
Electronic total energy, eV/atom: -3.327
Formation energy without anion corrections, meV per atom: 460
Relative energy among the computed polymorphs, eV per atom: 0.086